1.
Computed, not measured: a geometry-optimized SnB2F structure at the PBE level of DFT.

final energy = -4.6645 eV/atom
formation energy (no corrections) = 55.1 kJ/mol of formula units
space group = No. 141
magnetization = 0.0 μB per cell

Unit cell a=3.344 b=3.344 c=11.368 alpha=81.54 beta=81.54 gamma=90.00
Atoms (fractional coordinates):
Sn1 0.750 0.250 0.500
F1 0.250 0.750 0.500
Sn2 0.000 0.000 0.000
B1 0.875 0.625 0.750
F2 0.500 0.500 0.000
B2 0.375 0.625 0.750
B3 0.375 0.625 0.250
B4 0.375 0.125 0.250

***

2.
Computed, not measured: a geometry-optimized Sn5BF13 structure at the PBE level of DFT.

final energy = -5.1188 eV/atom
formation energy (no corrections) = -4461.3 kJ/mol of formula units
space group = No. 14
magnetization = 0.0 μB per cell

Unit cell a=7.761 b=13.964 c=14.510 alpha=60.99 beta=90.00 gamma=90.00
Atoms (fractional coordinates):
F1 0.534 0.697 0.826
F2 0.588 0.575 0.319
F3 0.866 0.517 0.545
F4 0.157 0.235 0.877
Sn1 0.114 0.790 0.178
F5 0.088 0.425 0.181
F6 0.831 0.055 0.237
Sn2 0.896 0.558 0.148
F7 0.988 0.197 0.365
B1 0.186 0.939 0.862
F8 0.843 0.765 0.123
F9 0.366 0.483 0.955
Sn3 0.886 0.210 0.822
F10 0.466 0.303 0.174
B2 0.814 0.061 0.138
Sn4 0.162 0.123 0.494
F11 0.632 0.362 0.325
Sn5 0.104 0.442 0.852
F12 0.041 0.885 0.926
F13 0.541 0.115 0.574
Sn6 0.338 0.123 0.994
F14 0.662 0.122 0.086
Sn7 0.386 0.790 0.678
Sn8 0.614 0.210 0.322
F15 0.199 0.703 0.819
F16 0.162 0.878 0.414
F17 0.140 0.263 0.514
F18 0.012 0.803 0.635
Sn9 0.092 0.631 0.480
F19 0.034 0.303 0.674
F20 0.699 0.954 0.649
F21 0.991 0.626 0.993
Sn10 0.920 0.732 0.817
Sn11 0.080 0.268 0.183
F22 0.360 0.263 0.014
F23 0.512 0.197 0.865
F24 0.657 0.765 0.623
F25 0.801 0.954 0.149
F26 0.640 0.737 0.986
F27 0.368 0.638 0.675
F28 0.634 0.517 0.045
F29 0.912 0.575 0.819
Sn12 0.604 0.558 0.648
F30 0.509 0.626 0.493
Sn13 0.580 0.732 0.317
F31 0.009 0.374 0.007
F32 0.838 0.122 0.586
F33 0.134 0.483 0.455
F34 0.966 0.697 0.326
Sn14 0.838 0.877 0.506
F35 0.860 0.737 0.486
B3 0.686 0.061 0.638
F36 0.699 0.297 0.681
F37 0.338 0.878 0.914
Sn15 0.420 0.268 0.683
F38 0.343 0.235 0.377
F39 0.301 0.703 0.319
F40 0.331 0.945 0.263
F41 0.301 0.046 0.351
F42 0.412 0.425 0.681
Sn16 0.408 0.631 0.980
F43 0.169 0.945 0.763
F44 0.868 0.362 0.825
B4 0.314 0.939 0.362
F45 0.491 0.374 0.507
Sn17 0.908 0.369 0.520
F46 0.459 0.885 0.426
F47 0.132 0.638 0.175
Sn18 0.592 0.369 0.020
F48 0.959 0.115 0.074
Sn19 0.396 0.442 0.352
F49 0.801 0.297 0.181
Sn20 0.662 0.877 0.006
F50 0.199 0.046 0.851
F51 0.669 0.055 0.737
F52 0.488 0.803 0.135

***

Question: final energy of number 2 (Sn5BF13)?
Answer: -5.1188 eV/atom

***

Question: Among the records above, which one has the highest formation energy (no corrections)?
Answer: SnB2F

***

Question: Among the records above, which one has the highest formation energy (no corrections)?
Answer: SnB2F

***

Please write out number 2 again, unchanged.
Computed, not measured: a geometry-optimized Sn5BF13 structure at the PBE level of DFT.

final energy = -5.1188 eV/atom
formation energy (no corrections) = -4461.3 kJ/mol of formula units
space group = No. 14
magnetization = 0.0 μB per cell

Unit cell a=7.761 b=13.964 c=14.510 alpha=60.99 beta=90.00 gamma=90.00
Atoms (fractional coordinates):
F1 0.534 0.697 0.826
F2 0.588 0.575 0.319
F3 0.866 0.517 0.545
F4 0.157 0.235 0.877
Sn1 0.114 0.790 0.178
F5 0.088 0.425 0.181
F6 0.831 0.055 0.237
Sn2 0.896 0.558 0.148
F7 0.988 0.197 0.365
B1 0.186 0.939 0.862
F8 0.843 0.765 0.123
F9 0.366 0.483 0.955
Sn3 0.886 0.210 0.822
F10 0.466 0.303 0.174
B2 0.814 0.061 0.138
Sn4 0.162 0.123 0.494
F11 0.632 0.362 0.325
Sn5 0.104 0.442 0.852
F12 0.041 0.885 0.926
F13 0.541 0.115 0.574
Sn6 0.338 0.123 0.994
F14 0.662 0.122 0.086
Sn7 0.386 0.790 0.678
Sn8 0.614 0.210 0.322
F15 0.199 0.703 0.819
F16 0.162 0.878 0.414
F17 0.140 0.263 0.514
F18 0.012 0.803 0.635
Sn9 0.092 0.631 0.480
F19 0.034 0.303 0.674
F20 0.699 0.954 0.649
F21 0.991 0.626 0.993
Sn10 0.920 0.732 0.817
Sn11 0.080 0.268 0.183
F22 0.360 0.263 0.014
F23 0.512 0.197 0.865
F24 0.657 0.765 0.623
F25 0.801 0.954 0.149
F26 0.640 0.737 0.986
F27 0.368 0.638 0.675
F28 0.634 0.517 0.045
F29 0.912 0.575 0.819
Sn12 0.604 0.558 0.648
F30 0.509 0.626 0.493
Sn13 0.580 0.732 0.317
F31 0.009 0.374 0.007
F32 0.838 0.122 0.586
F33 0.134 0.483 0.455
F34 0.966 0.697 0.326
Sn14 0.838 0.877 0.506
F35 0.860 0.737 0.486
B3 0.686 0.061 0.638
F36 0.699 0.297 0.681
F37 0.338 0.878 0.914
Sn15 0.420 0.268 0.683
F38 0.343 0.235 0.377
F39 0.301 0.703 0.319
F40 0.331 0.945 0.263
F41 0.301 0.046 0.351
F42 0.412 0.425 0.681
Sn16 0.408 0.631 0.980
F43 0.169 0.945 0.763
F44 0.868 0.362 0.825
B4 0.314 0.939 0.362
F45 0.491 0.374 0.507
Sn17 0.908 0.369 0.520
F46 0.459 0.885 0.426
F47 0.132 0.638 0.175
Sn18 0.592 0.369 0.020
F48 0.959 0.115 0.074
Sn19 0.396 0.442 0.352
F49 0.801 0.297 0.181
Sn20 0.662 0.877 0.006
F50 0.199 0.046 0.851
F51 0.669 0.055 0.737
F52 0.488 0.803 0.135